Record 1
LiTaAs4: optimized geometry, PBE-GGA.

Structure (POSCAR):
```
LiTaAs4
1.0
-4.548 -2.968 0.353
-1.198 -2.605 4.626
-4.135 1.714 3.096
As Ta Li
4 1 1
direct
0.877 0.374 0.374
0.374 0.374 0.374
0.374 0.877 0.374
0.374 0.374 0.877
0.000 0.000 0.000
0.750 0.750 0.750
```

Values from the calculation:
The value obtained for the total energy is -29.48 eV per cell.

***

Record 2
KYAu2: optimized geometry, PBE-GGA.

Structure (POSCAR):
```
KYAu2
1.0
5.075 0.000 0.000
2.537 4.395 0.000
2.537 1.465 4.143
Au K Y
2 1 1
direct
0.250 0.250 0.250
0.000 0.000 0.000
0.500 0.500 0.500
0.750 0.750 0.750
```

Values from the calculation:
The value obtained for the total energy is -14.55 eV per cell. As for the distance to the lowest polymorph of the same formula: 1.88 eV per formula unit.

***

Record 3
SrScAlS4: optimized geometry, PBE-GGA.

Structure (POSCAR):
```
SrScAlS4
1.0
6.373 0.000 0.088
0.000 6.667 0.000
-2.388 0.000 7.555
S Al Sr Sc
8 2 2 2
direct
0.481 0.750 0.597
0.000 0.001 0.286
0.000 0.999 0.714
0.000 0.501 0.714
0.519 0.250 0.403
0.455 0.750 0.150
0.545 0.250 0.850
0.000 0.499 0.286
0.249 0.750 0.332
0.751 0.250 0.668
0.763 0.750 0.946
0.237 0.250 0.054
0.214 0.250 0.550
0.786 0.750 0.450
```

Values from the calculation:
The value obtained for the total energy is -79.22 eV per cell.

***

Record 4
Ba2Ga4Ag5: optimized geometry, PBE-GGA.

Structure (POSCAR):
```
Ba2Ga4Ag5
1.0
5.612 0.000 2.679
2.806 5.298 1.340
-0.646 0.000 8.572
Ga Ag Ba
4 5 2
direct
0.474 0.309 0.743
0.783 0.691 0.743
0.526 0.691 0.257
0.217 0.309 0.257
0.250 0.500 0.500
0.500 0.500 0.000
0.500 0.000 0.000
0.750 0.500 0.500
0.000 0.500 0.000
0.860 0.000 0.280
0.140 0.000 0.720
```

Values from the calculation:
The value obtained for the total energy is -32.85 eV per cell. As for the distance to the lowest polymorph of the same formula: 0.00 eV per formula unit.

***

Record 5
Rb2HfF2: optimized geometry, PBE-GGA.

Structure (POSCAR):
```
Rb2HfF2
1.0
8.264 0.000 0.000
0.000 8.264 0.000
0.000 0.000 3.501
Rb F Hf
4 4 2
direct
0.358 0.142 0.500
0.142 0.642 0.500
0.858 0.358 0.500
0.642 0.858 0.500
0.167 0.333 0.000
0.833 0.667 0.000
0.333 0.833 0.000
0.667 0.167 0.000
0.000 0.000 0.000
0.500 0.500 0.000
```

Values from the calculation:
The value obtained for the total energy is -41.19 eV per cell. As for the distance to the lowest polymorph of the same formula: 0.00 eV per formula unit.

***

Record 6
TiIr2PbS: optimized geometry, PBE-GGA.

Structure (POSCAR):
```
TiIr2PbS
1.0
-2.628 1.312 -3.708
-1.036 -4.484 -0.853
-3.792 0.342 2.808
Pb Ir S Ti
1 2 1 1
direct
0.500 0.500 0.500
0.500 0.000 0.000
0.000 0.000 0.500
0.000 0.500 0.000
0.000 0.000 0.000
```

Values from the calculation:
The value obtained for the total energy is -31.01 eV per cell.

***

Record 7
LiNiCl2: optimized geometry, PBE-GGA.

Structure (POSCAR):
```
LiNiCl2
1.0
-1.590 4.828 4.432
-1.669 1.943 6.239
3.306 0.382 0.754
Ni Cl Li
1 2 1
direct
0.202 0.202 0.126
0.738 0.738 0.626
0.017 0.017 0.124
0.543 0.543 0.624
```

Values from the calculation:
The value obtained for the total energy is -14.67 eV per cell. As for the distance to the lowest polymorph of the same formula: 0.30 eV per formula unit.

***

Record 8
Hf6In2Sn: optimized geometry, PBE-GGA.

Structure (POSCAR):
```
Hf6In2Sn
1.0
-0.406 -2.487 3.649
9.368 -1.499 0.020
1.222 7.710 5.394
Hf In Sn
12 4 2
direct
0.000 0.352 0.148
0.000 0.016 0.163
0.000 0.337 0.484
0.500 0.163 0.984
0.500 0.148 0.648
0.500 0.516 0.337
0.000 0.663 0.516
0.500 0.852 0.352
0.000 0.648 0.852
0.500 0.837 0.016
0.000 0.984 0.837
0.500 0.484 0.663
0.000 0.309 0.808
0.500 0.191 0.308
0.000 0.691 0.192
0.500 0.809 0.692
0.000 0.000 0.500
0.500 0.500 0.000
```

Values from the calculation:
The value obtained for the total energy is -141.43 eV per cell. As for the distance to the lowest polymorph of the same formula: 0.00 eV per formula unit.

***

Record 9
LiGa6Ag8: optimized geometry, PBE-GGA.

Structure (POSCAR):
```
LiGa6Ag8
1.0
5.273 0.000 0.000
0.000 6.737 -3.890
0.000 0.000 7.779
Ag Ga Li
8 6 1
direct
0.168 0.290 0.298
0.832 0.710 0.702
0.832 0.298 0.008
0.030 0.667 0.333
0.168 0.702 0.992
0.168 0.008 0.710
0.832 0.992 0.290
0.970 0.333 0.667
0.339 0.369 0.005
0.339 0.636 0.631
0.661 0.364 0.369
0.661 0.005 0.636
0.661 0.631 0.995
0.339 0.995 0.364
0.500 0.000 0.000
```

Values from the calculation:
The value obtained for the total energy is -43.41 eV per cell. As for the distance to the lowest polymorph of the same formula: 0.00 eV per formula unit.

***

Record 10
TaBe8Fe3: optimized geometry, PBE-GGA.

Structure (POSCAR):
```
TaBe8Fe3
1.0
4.267 0.000 0.000
-2.133 3.695 0.000
0.000 0.000 7.008
Be Fe Ta
8 3 1
direct
0.672 0.836 0.239
0.503 0.497 0.763
0.333 0.667 0.003
0.164 0.328 0.239
0.333 0.667 0.493
0.164 0.836 0.239
0.994 0.497 0.763
0.503 0.006 0.763
0.000 0.000 0.935
0.667 0.333 0.441
0.667 0.333 0.062
0.000 0.000 0.560
```

Values from the calculation:
The value obtained for the total energy is -70.27 eV per cell.

***

Record 11
LaGaTeI2: optimized geometry, PBE-GGA.

Structure (POSCAR):
```
LaGaTeI2
1.0
5.610 0.000 0.000
0.000 5.610 0.000
0.000 0.000 5.580
La Ga Te I
1 1 1 2
direct
0.500 0.500 0.500
0.000 0.000 0.000
0.000 0.000 0.500
0.000 0.500 0.000
0.500 0.000 0.000
```

Values from the calculation:
The value obtained for the total energy is -16.51 eV per cell. As for the distance to the lowest polymorph of the same formula: 1.54 eV per formula unit.

***

Record 12
ErCuRu: optimized geometry, PBE-GGA.

Structure (POSCAR):
```
ErCuRu
1.0
3.481 0.000 0.000
0.000 4.256 0.000
0.000 -2.128 3.686
Cu Ru Er
1 1 1
direct
0.166 0.000 0.000
0.167 0.333 0.667
0.667 0.667 0.333
```

Values from the calculation:
The value obtained for the total energy is -18.35 eV per cell. As for the distance to the lowest polymorph of the same formula: 0.58 eV per formula unit.